PBE ThMg4Ge2, relaxed; SG = Cmmm (65); volume = 21.828 Å³/atom; ΔE_f = -30.6 kJ/mol of atoms; size of the total moment = 0.00 μB/f.u.
1.0
4.265 0.000 0.000
0.000 4.177 -0.920
0.000 -0.286 8.640
Th Mg Ge
1 4 2
Direct
0.000 0.000 0.000
0.500 0.822 0.644
0.000 0.679 0.359
0.500 0.178 0.356
0.000 0.321 0.641
0.500 0.575 0.151
0.500 0.425 0.849